{"formula": "NaRh2O2", "functional": "PBE-GGA", "state": "optimized geometry", "lattice": [[-2.605, 1.270, 5.551], [-5.689, -0.322, -2.596], [-0.144, -3.655, 0.769]], "species": ["Na", "Na", "Rh", "Rh", "Rh", "Rh", "O", "O", "O", "O"], "fractional_positions": [[0.000, 0.000, 0.000], [0.500, 0.500, 0.000], [0.148, 0.648, 0.500], [0.648, 0.852, 0.500], [0.852, 0.352, 0.500], [0.352, 0.148, 0.500], [0.159, 0.659, 0.000], [0.659, 0.841, 0.000], [0.841, 0.341, 0.000], [0.341, 0.159, 0.000]], "rho_g_cm3": 5.9, "formation_energy_uncorrected_ev_per_atom": -0.483, "polymorph_energy_mev_per_atom": 0, "dft_energy_ev_per_cell": -56.7, "magnetic_moment_mub_per_atom": 0.000}